i | VASP calculation (PBEsol) on a geometry-optimized AgIr2Cl structure.

## Properties
**Mass density**: 14.43 g/cm3
**Space-group type**: P4/mmm, No. 123

Cell lengths 2.8023, 4.6548, 4.6548 Å; angles 90.00, 90.00, 90.00 degrees
With the nearest neighbours (Å) after each atom.
Element x y z (fractional)
Ir 0.0000 0.0000 0.5000  4 Cl 2.72, 4 Ag 2.72, 2 Ir 2.80
Ir 0.0000 0.5000 0.0000  4 Cl 2.72, 4 Ag 2.72, 2 Ir 2.80
Ag 0.5000 0.5000 0.5000  8 Ir 2.72, 2 Ag 2.80
Cl 0.5000 0.0000 0.0000  8 Ir 2.72, 2 Cl 2.80

ii | VASP calculation (PBEsol) on a geometry-optimized AgIr2Cl structure.

## Properties
**Mass density**: 14.20 g/cm3
**Space-group type**: C2/m, No. 12

Cell lengths 2.7896, 4.6936, 5.4435 Å; angles 115.42, 104.66, 90.42 degrees
With the nearest neighbours (Å) after each atom.
Element x y z (fractional)
Ir 0.0000 0.5000 0.5000  6 Ir 2.72-2.79, 2 Cl 2.72, 2 Ag 2.72
Ir 0.5000 0.0000 0.5000  6 Ir 2.72-2.79, 2 Ag 2.72, 2 Cl 2.72
Ag 0.0000 0.5000 0.0000  4 Cl 2.72-2.74, 4 Ir 2.72, 2 Ag 2.79
Cl 0.5000 0.0000 0.0000  4 Ag 2.72-2.74, 4 Ir 2.72, 2 Cl 2.79

What are the relative energies? In meV per atom: i 352; ii 0.

i | VASP calculation (PBEsol) on a geometry-optimized Ag2IrCl structure.

## Properties
**Mass density**: 10.93 g/cm3
**Space-group type**: Fm-3m, No. 225

Cell lengths 4.5665, 4.5665, 4.5665 Å; angles 60.00, 60.00, 60.00 degrees
With the nearest neighbours (Å) after each atom.
Element x y z (fractional)
Ir 0.5000 0.5000 0.5000  8 Ag 2.80
Ag 0.7500 0.7500 0.7500  4 Cl 2.80, 4 Ir 2.80
Ag 0.2500 0.2500 0.2500  4 Ir 2.80, 4 Cl 2.80
Cl 0.0000 0.0000 0.0000  8 Ag 2.80

ii | VASP calculation (PBEsol) on a geometry-optimized Ag2IrCl structure.

## Properties
**Mass density**: 11.43 g/cm3
**Space-group type**: R-3m, No. 166

Cell lengths 2.9303, 2.9303, 8.8247 Å; angles 80.44, 80.44, 60.00 degrees
With the nearest neighbours (Å) after each atom.
Element x y z (fractional)
Ir 0.0000 0.0000 0.0000  6 Ag 2.78, 6 Ir 2.93
Ag 0.2484 0.2484 0.2547  3 Cl 2.72, 3 Ir 2.78, 6 Ag 2.93
Ag 0.7516 0.7516 0.7453  3 Cl 2.72, 3 Ir 2.78, 6 Ag 2.93
Cl 0.5000 0.5000 0.5000  6 Ag 2.72, 6 Cl 2.93

What are the relative energies? In meV per atom: i 586; ii 0.

i | VASP calculation (PBEsol) on a geometry-optimized La2AgCl structure.

## Properties
**Mass density**: 7.09 g/cm3
**Space-group type**: P4/mmm, No. 123

Cell lengths 3.3328, 5.4415, 5.4415 Å; angles 90.00, 90.00, 90.00 degrees
With the nearest neighbours (Å) after each atom.
Element x y z (fractional)
Cl 0.5000 0.0000 0.0000  8 La 3.19, 2 Cl 3.33
Ag 0.5000 0.5000 0.5000  8 La 3.19, 2 Ag 3.33
La 0.0000 0.0000 0.5000  4 Ag 3.19, 4 Cl 3.19, 2 La 3.33
La 0.0000 0.5000 0.0000  4 Cl 3.19, 4 Ag 3.19, 2 La 3.33

ii | VASP calculation (PBEsol) on a geometry-optimized La2AgCl structure.

## Properties
**Mass density**: 6.86 g/cm3
**Space-group type**: Immm, No. 71

Cell lengths 4.7598, 5.2708, 5.2708 Å; angles 66.35, 63.16, 63.16 degrees
With the nearest neighbours (Å) after each atom.
Element x y z (fractional)
Cl 0.0000 0.5000 0.5000  4 La 2.97
Ag 0.5000 0.0000 0.0000  8 La 3.07-3.39
La 0.2612 0.7388 0.7388  2 Cl 2.97, 2 Ag 3.07
La 0.7388 0.2612 0.2612  2 Cl 2.97, 2 Ag 3.07

iii | VASP calculation (PBEsol) on a geometry-optimized La2AgCl structure.

## Properties
**Mass density**: 6.43 g/cm3
**Space-group type**: P4/mmm, No. 123

Cell lengths 4.2015, 4.2015, 6.1654 Å; angles 90.00, 90.00, 90.00 degrees
With the nearest neighbours (Å) after each atom.
Element x y z (fractional)
La 0.0000 0.0000 0.8749  4 Cl 2.97, 2 Ag 3.08
La 0.5000 0.5000 0.3752  4 Ag 2.97, 2 Cl 3.08
Ag 0.0000 0.0000 0.3750  6 La 2.97-3.08
Cl 0.5000 0.5000 0.8749  6 La 2.97-3.08

iv | VASP calculation (PBEsol) on a geometry-optimized La2AgCl structure.

## Properties
**Mass density**: 6.46 g/cm3
**Space-group type**: C2/m, No. 12

Cell lengths 4.3662, 4.3622, 7.0367 Å; angles 108.09, 90.00, 120.03 degrees
With the nearest neighbours (Å) after each atom.
Element x y z (fractional)
Cl 0.0000 0.0000 0.5000  6 La 2.94
Ag 0.5000 0.0000 0.0000  6 La 3.08
La 0.7434 0.4868 0.7303  3 Cl 2.94, 3 Ag 3.08
La 0.2566 0.5132 0.2697  3 Cl 2.94, 3 Ag 3.08

What are the relative energies? In meV per atom: i 131; ii 186; iii 0; iv 14.